A plane-wave DFT calculation with PBE with a Hubbard U was carried out for crystalline TlVF2 at its relaxed geometry. Values from VASP.

Cell and atoms, written as Quantum ESPRESSO input:
```
&SYSTEM
  ibrav = 0, nat = 4, ntyp = 3
/
ATOMIC_SPECIES
F 19.00 F.upf
Tl 204.38 Tl.upf
V 50.94 V.upf
ATOMIC_POSITIONS angstrom
F 0.000 0.000 22.900
F 0.000 0.000 3.460
Tl 0.000 0.000 0.000
V 0.000 0.000 13.180
CELL_PARAMETERS angstrom
1.939 0.000 8.787
-0.969 1.679 8.787
-0.969 -1.679 8.787
```

Space group: No. 166
Density of states at the Fermi level: 2.4 states/eV/cell
Total moment: 3.24 μB per cell
Electronic total energy: -20.9 eV/cell
Density: 5.7 g/cm3
Offset from the most stable computed form: 0 meV/atom

---

A plane-wave DFT calculation with PBE with a Hubbard U was carried out for crystalline TlVF6 at its relaxed geometry. Values from VASP.

Cell and atoms, written as Quantum ESPRESSO input:
```
&SYSTEM
  ibrav = 0, nat = 8, ntyp = 3
/
ATOMIC_SPECIES
V 50.94 V.upf
F 19.00 F.upf
Tl 204.38 Tl.upf
ATOMIC_POSITIONS angstrom
V 0.000 0.000 0.000
F -1.344 0.010 1.213
F -2.153 -1.764 3.872
F -4.048 0.979 9.822
F -2.713 -1.236 7.777
F -3.238 2.753 7.163
F -2.678 2.226 3.258
Tl -2.696 0.495 5.518
CELL_PARAMETERS angstrom
-3.711 3.223 2.133
-2.856 -3.276 3.134
1.174 1.042 5.768
```

Space group: No. 12
Density of states at the Fermi level: 0.0 states/eV/cell
Total moment: 0.00 μB per cell
Electronic total energy: -40.3 eV/cell
Density: 4.1 g/cm3
Offset from the most stable computed form: 4 meV/atom

---

A plane-wave DFT calculation with PBE with a Hubbard U was carried out for crystalline Tl4VF7 at its relaxed geometry. Values from VASP.

Cell and atoms, written as Quantum ESPRESSO input:
```
&SYSTEM
  ibrav = 0, nat = 12, ntyp = 3
/
ATOMIC_SPECIES
Tl 204.38 Tl.upf
F 19.00 F.upf
V 50.94 V.upf
ATOMIC_POSITIONS angstrom
Tl -0.748 -6.518 -2.325
Tl -4.425 -6.118 -1.485
Tl 1.105 -2.427 -3.349
Tl -2.572 -2.028 -2.509
F -6.360 -4.507 -2.737
F 0.095 -4.661 -4.005
F -3.627 -6.755 -4.099
F 3.040 -4.038 -2.097
F -0.354 0.714 -1.887
F -3.415 -3.884 -0.829
F 0.307 -1.790 -0.735
V 0.000 0.000 0.000
CELL_PARAMETERS angstrom
-0.708 1.428 -3.775
4.949 -3.594 -2.287
-7.561 -6.379 1.228
```

Space group: No. 12
Density of states at the Fermi level: 0.0 states/eV/cell
Total moment: 2.00 μB per cell
Electronic total energy: -56.0 eV/cell
Density: 6.6 g/cm3

---

A plane-wave DFT calculation with PBE with a Hubbard U was carried out for crystalline TlV3F at its relaxed geometry. Values from VASP.

Cell and atoms, written as Quantum ESPRESSO input:
```
&SYSTEM
  ibrav = 0, nat = 5, ntyp = 3
/
ATOMIC_SPECIES
V 50.94 V.upf
F 19.00 F.upf
Tl 204.38 Tl.upf
ATOMIC_POSITIONS angstrom
V -0.431 2.212 0.013
V -1.696 -0.322 -1.449
V -1.421 -0.287 1.726
F 0.000 0.000 0.000
Tl -3.548 1.603 0.290
CELL_PARAMETERS angstrom
-3.391 -0.644 -2.898
-2.841 -0.574 3.452
-0.863 4.424 0.026
```

Space group: No. 221
Density of states at the Fermi level: 0.3 states/eV/cell
Total moment: 9.06 μB per cell
Electronic total energy: -24.9 eV/cell
Density: 6.8 g/cm3
Offset from the most stable computed form: 0 meV/atom

---

A plane-wave DFT calculation with PBE with a Hubbard U was carried out for crystalline TlVF6 at its relaxed geometry. Values from VASP.

Cell and atoms, written as Quantum ESPRESSO input:
```
&SYSTEM
  ibrav = 0, nat = 8, ntyp = 3
/
ATOMIC_SPECIES
Tl 204.38 Tl.upf
F 19.00 F.upf
V 50.94 V.upf
ATOMIC_POSITIONS angstrom
Tl 6.524 3.766 2.663
F 8.500 4.907 1.050
F 4.547 4.907 1.050
F 6.524 6.048 4.277
F 4.547 2.625 4.277
F 6.524 1.485 1.050
F 8.500 2.625 4.277
V 0.000 0.000 0.000
CELL_PARAMETERS angstrom
6.524 0.000 0.000
3.262 5.650 0.000
3.262 1.883 5.326
```

Space group: No. 225
Density of states at the Fermi level: 0.0 states/eV/cell
Total moment: 0.00 μB per cell
Electronic total energy: -40.3 eV/cell
Density: 3.1 g/cm3
Offset from the most stable computed form: 0 meV/atom

---

A plane-wave DFT calculation with PBE with a Hubbard U was carried out for crystalline YTl2V3F12 at its relaxed geometry. Values from VASP.

Cell and atoms, written as Quantum ESPRESSO input:
```
&SYSTEM
  ibrav = 0, nat = 18, ntyp = 4
/
ATOMIC_SPECIES
F 19.00 F.upf
V 50.94 V.upf
Tl 204.38 Tl.upf
Y 88.91 Y.upf
ATOMIC_POSITIONS angstrom
F -3.298 2.925 3.897
F -9.069 4.872 1.451
F -6.771 5.947 5.183
F -2.653 5.250 0.121
F -8.085 4.072 3.803
F -11.554 7.110 5.063
F -8.627 10.503 4.994
F -6.122 8.288 1.381
F -5.580 1.857 0.190
F -10.908 9.435 1.287
F -7.435 6.413 0.001
F -5.138 7.488 3.734
V -1.355 3.681 -0.226
V -1.904 1.703 2.985
V -3.844 0.796 -0.167
Tl -8.414 7.320 3.070
Tl -5.793 5.040 2.114
Y 0.000 0.000 0.000
CELL_PARAMETERS angstrom
-2.711 7.362 -0.452
-7.688 1.591 -0.334
-3.808 3.407 5.970
```

Space group: No. 166
Density of states at the Fermi level: 6.7 states/eV/cell
Total moment: 8.00 μB per cell
Electronic total energy: -107.0 eV/cell
Density: 4.5 g/cm3

---

A plane-wave DFT calculation with PBE with a Hubbard U was carried out for crystalline Tl2VZn3F12 at its relaxed geometry. Values from VASP.

Cell and atoms, written as Quantum ESPRESSO input:
```
&SYSTEM
  ibrav = 0, nat = 18, ntyp = 4
/
ATOMIC_SPECIES
Tl 204.38 Tl.upf
Zn 65.41 Zn.upf
F 19.00 F.upf
V 50.94 V.upf
ATOMIC_POSITIONS angstrom
Tl 9.203 5.357 3.799
Tl 6.202 3.610 2.560
Zn 3.799 0.087 0.061
Zn 1.952 1.136 3.057
Zn 1.952 3.261 0.061
F 8.040 2.156 4.204
F 8.040 4.680 0.645
F 7.364 4.287 5.715
F 3.503 2.039 4.291
F 5.845 5.927 4.204
F 11.901 6.927 2.069
F 9.566 8.253 5.854
F 11.901 4.243 5.854
F 5.838 0.713 0.506
F 7.364 6.811 2.156
F 9.559 3.040 2.156
F 3.503 4.724 0.506
V 0.000 0.000 0.000
CELL_PARAMETERS angstrom
7.598 0.173 0.123
3.903 6.521 0.123
3.903 2.272 6.114
```

Space group: No. 166
Density of states at the Fermi level: 0.0 states/eV/cell
Total moment: 1.00 μB per cell
Electronic total energy: -80.4 eV/cell
Density: 5.0 g/cm3

---

A plane-wave DFT calculation with PBE with a Hubbard U was carried out for crystalline TlWF2 at its relaxed geometry. Values from VASP.

Cell and atoms, written as Quantum ESPRESSO input:
```
&SYSTEM
  ibrav = 0, nat = 4, ntyp = 3
/
ATOMIC_SPECIES
W 183.84 W.upf
Tl 204.38 Tl.upf
F 19.00 F.upf
ATOMIC_POSITIONS angstrom
W 0.000 0.000 0.000
Tl 3.229 3.229 3.229
F 4.844 4.844 4.844
F 1.615 1.615 1.615
CELL_PARAMETERS angstrom
0.000 3.229 3.229
3.229 0.000 3.229
3.229 3.229 0.000
```

Space group: No. 225
Density of states at the Fermi level: 2.2 states/eV/cell
Total moment: 0.00 μB per cell
Electronic total energy: -13.9 eV/cell
Density: 10.5 g/cm3
Offset from the most stable computed form: 851 meV/atom

---

A plane-wave DFT calculation with PBE with a Hubbard U was carried out for crystalline Tl2WF5 at its relaxed geometry. Values from VASP.

Cell and atoms, written as Quantum ESPRESSO input:
```
&SYSTEM
  ibrav = 0, nat = 32, ntyp = 3
/
ATOMIC_SPECIES
F 19.00 F.upf
Tl 204.38 Tl.upf
W 183.84 W.upf
ATOMIC_POSITIONS angstrom
F 3.058 4.018 6.305
F 3.116 5.303 11.327
F 1.523 4.383 3.768
F 0.050 6.755 5.021
F 1.525 6.290 7.537
F 2.999 6.754 5.022
F 3.117 1.283 7.589
F 4.590 5.767 1.232
F 4.594 3.654 8.842
F 0.051 2.735 1.284
F 4.593 7.674 10.073
F 0.000 0.000 0.000
F 1.527 2.270 11.378
F -0.001 4.020 6.305
F 6.066 5.302 11.326
F 3.000 2.734 1.283
F 3.059 -0.001 0.000
F 4.591 1.747 5.073
F 1.524 0.363 2.537
F 6.067 1.282 7.589
Tl 4.589 2.848 11.466
Tl 4.588 6.868 7.449
Tl 4.591 3.794 3.175
Tl 1.526 4.242 9.435
Tl 1.528 5.189 1.144
Tl 4.589 7.814 3.130
Tl 1.529 1.169 5.161
Tl 1.527 0.223 9.480
W 4.590 2.659 6.996
W 1.526 5.378 5.614
W 4.589 6.679 11.919
W 1.528 1.358 0.691
CELL_PARAMETERS angstrom
6.119 -0.003 0.000
-0.002 8.040 0.000
0.000 0.000 12.610
```

Space group: No. 14
Density of states at the Fermi level: 0.0 states/eV/cell
Total moment: 12.00 μB per cell
Electronic total energy: -156.2 eV/cell
Density: 7.4 g/cm3

---

A plane-wave DFT calculation with PBE with a Hubbard U was carried out for crystalline Tl2WF6 at its relaxed geometry. Values from VASP.

Cell and atoms, written as Quantum ESPRESSO input:
```
&SYSTEM
  ibrav = 0, nat = 18, ntyp = 3
/
ATOMIC_SPECIES
W 183.84 W.upf
F 19.00 F.upf
Tl 204.38 Tl.upf
ATOMIC_POSITIONS angstrom
W 3.291 0.012 4.021
W -1.378 3.502 0.000
F 4.741 1.601 7.758
F 1.479 0.272 3.037
F 3.392 3.786 0.984
F 1.492 6.528 2.337
F 0.434 3.242 7.058
F 2.333 0.499 5.705
F 2.347 6.756 5.005
F 0.072 5.092 4.305
F -0.420 3.014 1.684
F 4.246 4.013 6.358
F -0.916 5.427 0.284
F 3.754 1.936 3.737
Tl 1.904 5.679 7.600
Tl -0.009 2.166 4.463
Tl 3.835 4.862 3.579
Tl 1.922 1.348 0.442
CELL_PARAMETERS angstrom
6.582 0.023 0.000
-2.757 7.004 0.000
0.000 0.000 8.042
```

Space group: No. 14
Density of states at the Fermi level: 0.0 states/eV/cell
Total moment: 4.00 μB per cell
Electronic total energy: -89.3 eV/cell
Density: 6.3 g/cm3